The following is a PBE calculation of crystalline LaAlTe3 at its relaxed geometry, from Alexandria via LeMat-Bulk.

The space group is C2/m (No. 12) and the conventional cell measures 14.023, 9.943 and 4.808 Å, with angles of 90.00, 90.74 and 90.00 degrees. The asymmetric unit holds La at (0.235, 0.000, 0.262), Al at (0.000, 0.312, 0.500), Te at (0.102, 0.500, 0.238) and Te at (0.144, 0.197, 0.759).

The energy relative to the lowest polymorph listed for this composition comes out at 0 meV per atom. For the formation energy (no corrections), the calculation gives -0.958 eV/atom. Its magnetic moment is 0.00 μB/f.u.